[1]
## ScSiPt3 (PBE-GGA)

Data for ScSiPt3 after structural relaxation.

Cell lengths 4.8158, 4.8158, 4.8158 Å; angles 90.00, 90.00, 90.00 degrees
Closest atoms and distances in Å follow each position.
Space group Pm-3m (No. 221)
Unique sites:
Sc1 0.0000 0.0000 0.0000 x1  6 Pt 2.41
Si1 0.5000 0.5000 0.5000 x1  12 Pt 3.41
Pt1 0.0000 0.0000 0.5000 x3  2 Sc 2.41

Output
The calculation puts the total moment at 0.00 μB per atom. The offset from the most stable computed form is 1749 meV/atom. The uncorrected formation energy is 0.785 eV/atom. The calculated density is 9.79 g/cm3. For the total energy, the calculation gives -25.95 eV/f.u.



[2]
## CsK2NbMo (PBE-GGA)

Data for CsK2NbMo after structural relaxation.

Cell lengths 6.2443, 6.2443, 5.5729 Å; angles 90.00, 90.00, 90.00 degrees
Closest atoms and distances in Å follow each position.
Space group P4/mmm (No. 123)
Unique sites:
Cs1 0.0000 0.0000 0.0000 x1  2 Mo 2.79
K1 0.0000 0.5000 0.5000 x2  2 Mo 3.12
Nb1 0.5000 0.5000 0.0000 x1  8 K 4.18, 4 Cs 4.42
Mo1 0.0000 0.0000 0.5000 x1  2 Cs 2.79

Output
The calculation puts the total moment at 0.00 μB per atom. For the energy of formation, the calculation gives 260.6 kJ/mol of atoms. The calculated density is 3.06 g/cm3. For the total energy, the calculation gives -10.44 eV/f.u.



[3]
## Mn2GeHN (PBE-GGA)

Data for Mn2GeHN after structural relaxation.

Cell lengths 3.8091, 2.8144, 4.7161 Å; angles 90.00, 110.01, 90.00 degrees
Closest atoms and distances in Å follow each position.
Space group Pm (No. 6)
Unique sites:
Mn1 0.0000 0.0000 0.0000 x1  2 H 1.76, 2 N 1.95-1.96
Mn2 0.3667 0.5000 0.6134 x1  1 H 1.77, 2 N 1.90
Ge1 0.7609 0.0000 0.4172 x1  1 N 2.31, 3 Mn 2.43-2.46, 2 H 2.44
H1 0.2067 0.5000 0.2151 x1  3 Mn 1.76-1.77
N1 0.4600 0.0000 0.9018 x1  4 Mn 1.90-1.96

Output
The calculation puts the total moment at 0.39 μB per atom. The offset from the most stable computed form is 141 meV/atom. The calculated density is 6.90 g/cm3. For the total energy, the calculation gives -34.43 eV/f.u.



[4]
## CaGaCu (PBE-GGA)

Data for CaGaCu after structural relaxation.

Cell lengths 4.3220, 4.3220, 6.7596 Å; angles 90.00, 90.00, 90.00 degrees
Closest atoms and distances in Å follow each position.
Space group P4/nmm (No. 129, origin choice 2)
Unique sites:
Ca1 0.2500 0.2500 0.1765 x2  4 Cu 3.07, 5 Ga 3.18-3.28
Ga1 0.2500 0.2500 0.6917 x2  4 Cu 2.52
Cu1 0.2500 0.7500 0.5000 x2  4 Ga 2.52

Output
The calculation puts the total moment at 0.00 μB per atom. For the energy of formation, the calculation gives -33.1 kJ/mol of atoms. The calculated density is 4.56 g/cm3. For the total energy, the calculation gives -10.15 eV/f.u.